# 1
# MoPtW2

MoPtW2 after structural relaxation (PBE-GGA, Alexandria via LeMat-Bulk).

```
MoPtW2
1.0
-3.3235 -3.5637 -0.8927
0.5243 0.6906 4.8775
-2.0086 1.8860 -0.0511
W Mo Pt
2 1 1
Cartesian
0.0000 0.0000 0.0000 W
-1.3996 -1.4366 1.9924 W
-2.6660 -0.8388 -0.4719 Mo
-0.7422 1.2883 2.4132 Pt
```

Results
SG   Cmmm
ΔE_f   0.03 eV per atom
DOS at the Fermi energy   0.680 states/eV per atom
Spin magnetization   0.0 Bohr magnetons per cell

=====

# 2
# Mo2PtW

Mo2PtW after structural relaxation (PBE-GGA, Alexandria via LeMat-Bulk).

```
Mo2PtW
1.0
2.7024 0.0000 0.0000
0.0000 2.7024 0.0000
0.0000 0.0000 8.7112
Mo W Pt
2 1 1
Cartesian
0.0000 0.0000 4.2691 Mo
0.0000 0.0000 0.0865 Mo
1.3512 1.3512 6.5334 W
1.3512 1.3512 2.1778 Pt
```

Results
SG   P4/mmm
ΔE_f   -0.01 eV per atom
DOS at the Fermi energy   0.840 states/eV per atom
Spin magnetization   0.0 Bohr magnetons per cell

=====

# 3
# Mo2PtW

Mo2PtW after structural relaxation (PBE-GGA, Alexandria via LeMat-Bulk).

```
Mo2PtW
1.0
2.6816 0.0000 0.0000
0.0000 4.1478 0.0000
0.0000 0.0000 5.7203
Pt Mo W
1 2 1
Cartesian
1.3408 2.0739 1.4301 Pt
0.0000 0.0000 0.0172 Mo
0.0000 0.0000 2.8430 Mo
1.3408 2.0739 4.2902 W
```

Results
SG   Pmmm
ΔE_f   0.03 eV per atom
DOS at the Fermi energy   0.799 states/eV per atom
Spin magnetization   0.0 Bohr magnetons per cell

=====

# 4
# Mo2PtW

Mo2PtW after structural relaxation (PBE-GGA, Alexandria via LeMat-Bulk).

```
Mo2PtW
1.0
4.5446 0.0000 0.0000
0.0000 2.7072 -0.0031
0.0000 0.7158 5.1731
W Mo Pt
1 2 1
Cartesian
2.2723 2.3491 3.9383 W
2.2723 0.7651 1.3276 Mo
0.0000 3.3505 5.1059 Mo
0.0000 2.0926 2.5533 Pt
```

Results
SG   Pm
ΔE_f   -0.02 eV per atom
DOS at the Fermi energy   0.831 states/eV per atom
Spin magnetization   0.0 Bohr magnetons per cell

=====

# 5
# MoPtW2

MoPtW2 after structural relaxation (PBE-GGA, Alexandria via LeMat-Bulk).

```
MoPtW2
1.0
-2.3516 -1.7154 -2.5462
2.1765 -3.1935 0.1414
-5.2919 -5.6922 5.7856
Pt W Mo
2 4 2
Cartesian
-3.8655 -4.9310 1.0185 Pt
0.0000 0.0000 0.0000 Pt
-4.1400 -8.5382 2.2338 W
-4.0167 -6.1362 3.4386 W
-0.2759 -3.6475 1.1955 W
-2.5013 -2.8803 -0.1064 W
-0.0875 -2.4545 -1.2024 Mo
-1.6015 -5.6701 2.3623 Mo
```

Results
SG   I-42d
ΔE_f   0.73 eV per atom
DOS at the Fermi energy   1.226 states/eV per atom
Spin magnetization   0.0 Bohr magnetons per cell

=====

# 6
# Mo2PtW

Mo2PtW after structural relaxation (PBE-GGA, Alexandria via LeMat-Bulk).

```
Mo2PtW
1.0
-1.5918 1.7706 -1.3187
-0.9954 -0.0493 2.5327
5.4385 6.5765 2.2655
W Pt Mo
1 1 2
Cartesian
2.7686 5.7727 2.2991 W
2.7236 3.2935 1.1346 Pt
5.4384 6.5762 2.2654 Mo
0.0787 2.5200 1.1786 Mo
```

Results
SG   Cmm2
ΔE_f   -0.04 eV per atom
DOS at the Fermi energy   0.730 states/eV per atom
Spin magnetization   0.0 Bohr magnetons per cell

=====

# 7
# Mo3PtW

Mo3PtW after structural relaxation (PBE-GGA, Alexandria via LeMat-Bulk).

```
Mo3PtW
1.0
4.6976 0.0000 0.0000
0.0000 4.6976 0.0000
0.0000 0.0000 4.6976
Mo Pt W
3 1 1
Cartesian
0.0000 2.3488 0.0000 Mo
2.3488 0.0000 0.0000 Mo
0.0000 0.0000 2.3488 Mo
0.0000 0.0000 0.0000 Pt
2.3488 2.3488 2.3488 W
```

Results
SG   Pm-3m
ΔE_f   2.11 eV per atom
DOS at the Fermi energy   1.430 states/eV per atom
Spin magnetization   0.0 Bohr magnetons per cell

=====

# 8
# MoPtW2

MoPtW2 after structural relaxation (PBE-GGA, Alexandria via LeMat-Bulk).

```
MoPtW2
1.0
-2.1193 -1.2597 2.1891
-2.0536 -0.8042 -2.4509
2.6312 -5.2593 -0.4790
W Pt Mo
2 1 1
Cartesian
-1.4227 -2.3587 -0.2517 W
0.0033 -0.0067 -0.0006 W
-0.0987 -5.0051 -0.4927 Pt
1.2919 -2.5824 -0.2352 Mo
```

Results
SG   P4mm
ΔE_f   0.08 eV per atom
DOS at the Fermi energy   1.126 states/eV per atom
Spin magnetization   0.0 Bohr magnetons per cell

=====

# 9
# MoPtW2

MoPtW2 after structural relaxation (PBE-GGA, Alexandria via LeMat-Bulk).

```
MoPtW2
1.0
3.9866 0.0000 0.0000
0.0000 3.9866 0.0000
0.0000 0.0000 3.9710
W Pt Mo
2 1 1
Cartesian
0.0000 0.0000 0.0000 W
1.9933 1.9933 0.0000 W
0.0000 1.9933 1.9855 Pt
1.9933 0.0000 1.9855 Mo
```

Results
SG   P4/mmm
ΔE_f   -0.05 eV per atom
DOS at the Fermi energy   0.901 states/eV per atom
Spin magnetization   0.0 Bohr magnetons per cell

=====

# 10
# Mo2PtW

Mo2PtW after structural relaxation (PBE-GGA, Alexandria via LeMat-Bulk).

```
Mo2PtW
1.0
-2.1982 -0.7417 -3.2206
-0.1643 -3.8387 0.9962
-3.3171 0.6884 2.1055
Mo Pt W
2 1 1
Cartesian
-1.1813 -2.2902 -1.1122 Mo
0.0000 0.0000 0.0000 Mo
-2.7576 -0.0267 -0.5576 Pt
-1.7407 -1.5751 1.5509 W
```

Results
SG   P4/mmm
ΔE_f   -0.08 eV per atom
DOS at the Fermi energy   1.071 states/eV per atom
Spin magnetization   0.0 Bohr magnetons per cell

=====

# 11
# MoPtW2

MoPtW2 after structural relaxation (PBE-GGA, Alexandria via LeMat-Bulk).

```
MoPtW2
1.0
-1.3768 2.2810 4.1075
3.3583 -0.7008 3.4929
0.3304 1.5520 -4.6316
Pt W Mo
1 2 1
Cartesian
2.3397 0.8207 1.3308 Pt
1.9787 1.5780 7.5894 W
0.9936 0.7924 3.8112 W
-0.0278 2.3116 1.6380 Mo
```

Results
SG   Immm
ΔE_f   0.00 eV per atom
DOS at the Fermi energy   1.250 states/eV per atom
Spin magnetization   0.0 Bohr magnetons per cell

=====

# 12
# Mo2PtW

Mo2PtW after structural relaxation (PBE-GGA, Alexandria via LeMat-Bulk).

```
Mo2PtW
1.0
2.6887 0.0000 0.0000
0.0000 4.1450 0.0000
0.0000 0.0000 5.7036
W Pt Mo
1 1 2
Cartesian
1.3443 2.0725 4.2629 W
0.0000 0.0000 2.8548 Pt
0.0000 0.0000 0.0048 Mo
1.3443 2.0725 1.4329 Mo
```

Results
SG   Pmm2
ΔE_f   0.04 eV per atom
DOS at the Fermi energy   0.762 states/eV per atom
Spin magnetization   0.0 Bohr magnetons per cell

=====

The lowest ΔE_f belongs to which entry? number 10

=====

What is the DOS at the Fermi energy in the eleventh record? 1.250 states/eV per atom

=====

Among the records above, which one has the highest DOS at the Fermi energy? Mo3PtW